The following is a DFT calculation (PBE-GGA) of Ta2CrPb after structural relaxation.

a = 3.1552 Å, b = 3.1552 Å, c = 26.3132 Å
α = 90.00°, β = 90.00°, γ = 120.00°
Space group R-3m (No. 166, hexagonal axes)
One atom of each set of equivalent atoms:
Ta 0.0000 0.0000 0.2357 x6
Cr 0.0000 0.0000 0.5000 x3
Pb 0.0000 0.0000 0.0000 x3

Computed properties:
Energy of formation   0.512 eV/atom
D(E_F)   0.95 states/eV per atom